(1)
Density functional theory data (GGA-PBE) for LaBr2Cl after structural relaxation.

Geometry as POSCAR:
```
LaBr2Cl
1.0
4.714 0.012 -0.006
-0.011 4.714 -0.006
0.006 0.006 4.676
Cl Br La
1 2 1
direct
0.500 0.000 0.500
0.000 0.000 0.000
0.500 0.500 0.000
0.000 0.500 0.500
```

Computed properties:
polymorph energy (0 for the lowest one): 545.2 meV per atom
crystal system: tetragonal
magnetic moment: 0.0 μB/f.u.
raw formation energy: -6.343 eV per formula unit

(2)
Density functional theory data (GGA-PBE) for La2Br5Cl after structural relaxation.

Geometry as POSCAR:
```
La2Br5Cl
1.0
4.938 0.000 0.000
2.469 7.270 0.061
2.469 1.396 7.135
La Br Cl
2 5 1
direct
0.744 0.756 0.756
0.256 0.244 0.244
0.000 0.500 0.500
0.666 0.517 0.151
0.334 0.483 0.849
0.334 0.849 0.483
0.666 0.151 0.517
0.000 0.000 0.000
```

Computed properties:
crystal system: orthorhombic
magnetic moment: 0.0 μB/f.u.
raw formation energy: -14.618 eV per formula unit

(3)
Density functional theory data (GGA-PBE) for LaBr2Cl after structural relaxation.

Geometry as POSCAR:
```
LaBr2Cl
1.0
-1.578 -2.470 4.693
-4.727 -2.497 -1.425
4.911 -0.336 -2.526
Cl Br La
1 2 1
direct
0.250 0.750 0.500
0.000 0.000 0.000
0.500 0.500 0.000
0.750 0.250 0.500
```

Computed properties:
polymorph energy (0 for the lowest one): 384.2 meV per atom
crystal system: tetragonal
magnetic moment: 0.0 μB/f.u.
raw formation energy: -6.987 eV per formula unit

(4)
Density functional theory data (GGA-PBE) for LaBr2Cl after structural relaxation.

Geometry as POSCAR:
```
LaBr2Cl
1.0
3.040 0.000 4.299
-1.520 2.633 4.299
-1.520 -2.633 4.299
Cl Br La
1 2 1
direct
0.500 0.500 0.500
0.750 0.750 0.750
0.250 0.250 0.250
0.000 0.000 0.000
```

Computed properties:
polymorph energy (0 for the lowest one): 399.9 meV per atom
crystal system: cubic
magnetic moment: 0.0 μB/f.u.
raw formation energy: -6.925 eV per formula unit

(5)
Density functional theory data (GGA-PBE) for LaBrCl2 after structural relaxation.

Geometry as POSCAR:
```
LaBrCl2
1.0
-1.217 -3.327 7.260
4.725 -4.146 5.073
-1.733 6.469 -4.517
Cl Br La
2 1 1
direct
0.004 0.004 0.000
0.642 0.142 0.500
0.351 0.851 0.500
0.503 0.503 0.000
```

Computed properties:
polymorph energy (0 for the lowest one): 205.4 meV per atom
crystal system: orthorhombic
magnetic moment: 0.0 μB/f.u.
raw formation energy: -8.194 eV per formula unit

(6)
Density functional theory data (GGA-PBE) for LaBrCl2 after structural relaxation.

Geometry as POSCAR:
```
LaBrCl2
1.0
-6.617 2.525 0.819
-6.673 0.227 -2.500
-5.951 -3.193 2.312
Cl Br La
2 1 1
direct
0.997 0.997 0.915
0.836 0.836 0.666
0.187 0.187 0.251
0.479 0.479 0.668
```

Computed properties:
polymorph energy (0 for the lowest one): 53.5 meV per atom
crystal system: monoclinic
magnetic moment: 0.0 μB/f.u.
raw formation energy: -8.801 eV per formula unit